# PBE Tb8AlSb2, relaxed
data_Tb8AlSb2
_chemical_formula_sum 'Tb16 Al2 Sb4'
_cell_length_a 19.1855
_cell_length_b 5.0336
_cell_length_c 6.8274
_cell_angle_alpha 90.00
_cell_angle_beta 102.63
_cell_angle_gamma 90.00
_space_group_name_H-M_alt 'C 1 2/m 1'
_space_group_IT_number 12
_space_group_name_Hall '-C 2y'
loop_
_atom_site_label
_atom_site_type_symbol
_atom_site_fract_x
_atom_site_fract_y
_atom_site_fract_z
Tb1 Tb 0.0177 0.0000 0.2705
Tb2 Tb 0.0914 0.5000 0.9800
Tb3 Tb 0.1578 0.5000 0.5158
Tb4 Tb 0.2157 0.0000 0.8356
Al1 Al 0.0000 0.5000 0.5000
Sb1 Sb 0.1795 0.0000 0.2665
# DOS(E_F)   12.0 states/eV/f.u.
# Total magnetic moment   0.0 Bohr magnetons per cell
# Formation energy (no corrections)   -0.398 eV/atom